Record 1
First-principles (GGA-PBE) data for an optimized crystal structure of KHfBi2Sb, as listed in Alexandria via LeMat-Bulk.

```
KHfBi2Sb
1.0
5.6402 0.0000 0.0000
0.0000 5.6402 0.0000
0.0000 0.0000 5.5895
K Hf Bi Sb
1 1 2 1
Cartesian
0.0000 0.0000 0.0000 K
2.8201 2.8201 2.7947 Hf
0.0000 2.8201 0.0000 Bi
2.8201 0.0000 0.0000 Bi
0.0000 0.0000 2.7947 Sb
```

Results
Space group: P4/mmm (123)
Raw formation energy in eV/f.u.: 7.42

***

Record 2
First-principles (GGA-PBE) data for an optimized crystal structure of CeSbAu, as listed in Alexandria via LeMat-Bulk.

```
CeSbAu
1.0
4.6796 0.0000 0.0000
-2.3398 4.0526 0.0000
0.0000 0.0000 16.5753
Ce Sb Au
4 4 4
Cartesian
0.0000 0.0000 0.0000 Ce
0.0000 0.0000 4.1438 Ce
0.0000 0.0000 8.2876 Ce
0.0000 0.0000 12.4315 Ce
0.0000 2.7018 1.8305 Sb
0.0000 2.7018 6.4571 Sb
2.3398 1.3509 10.1182 Sb
2.3398 1.3509 14.7447 Sb
0.0000 2.7018 10.9525 Au
0.0000 2.7018 13.9105 Au
2.3398 1.3509 2.6648 Au
2.3398 1.3509 5.6228 Au
```

Results
Space group: P6_3/mmc (194)
Raw formation energy in eV/f.u.: -2.44

***

Record 3
First-principles (GGA-PBE) data for an optimized crystal structure of RbTc2RhO8, as listed in Alexandria via LeMat-Bulk.

```
RbTc2RhO8
1.0
5.3653 0.0000 0.0000
-2.6826 4.6465 0.0000
0.0000 0.0000 8.4699
Rb Tc Rh O
1 2 1 8
Cartesian
0.0000 0.0000 0.0000 Rb
0.0000 3.0977 6.0314 Tc
2.6826 1.5488 2.4385 Tc
0.0000 0.0000 4.2349 Rh
-0.6569 1.5415 5.4389 O
-1.0192 4.4446 5.4389 O
1.0065 1.3397 3.0310 O
0.0000 3.0977 7.7808 O
2.6826 1.5488 0.6890 O
1.6761 3.3068 5.4389 O
3.7018 0.2018 3.0310 O
3.3396 3.1050 3.0310 O
```

Results
Space group: P-3 (147)
Raw formation energy in eV/f.u.: -15.82

***

Record 4
First-principles (GGA-PBE) data for an optimized crystal structure of Nb2InMoH, as listed in Alexandria via LeMat-Bulk.

```
Nb2InMoH
1.0
4.2473 0.0000 0.0000
0.0000 4.2473 0.0000
0.0000 0.0000 4.1242
Nb In Mo H
2 1 1 1
Cartesian
0.0000 2.1237 0.0000 Nb
2.1237 0.0000 0.0000 Nb
0.0000 0.0000 2.0621 In
2.1237 2.1237 2.0621 Mo
2.1237 2.1237 0.0000 H
```

Results
E_tot in eV per atom: -7.4279
Space group: P4/mmm (123)

***

Record 5
First-principles (GGA-PBE) data for an optimized crystal structure of CaCeTh2As4, as listed in Alexandria via LeMat-Bulk.

```
CaCeTh2As4
1.0
7.3539 0.0000 0.0000
0.0000 4.2607 0.0000
-2.4639 0.0000 6.9436
Ca Ce Th As
1 1 2 4
Cartesian
0.0000 0.0000 0.0000 Ca
-1.2320 2.1303 3.4718 Ce
2.4450 0.0000 3.4718 Th
3.6769 2.1303 0.0000 Th
-0.0067 0.0000 5.2000 As
1.2388 2.1303 1.7568 As
3.6512 2.1303 5.1868 As
4.8966 0.0000 1.7436 As
```

Results
Space group: P2/m (10)
Formation energy in eV per atom: -1.390

***

Record 6
First-principles (GGA-PBE) data for an optimized crystal structure of CaMgCd2, as listed in Alexandria via LeMat-Bulk.

```
CaMgCd2
1.0
3.5155 -3.5131 0.0000
3.5155 3.5131 0.0000
-0.0184 0.0000 4.0883
Ca Mg Cd
1 1 2
Cartesian
0.0000 0.0000 0.0000 Ca
3.5155 0.0000 0.0000 Mg
1.7486 1.7565 2.0442 Cd
1.7486 -1.7565 2.0442 Cd
```

Results
Space group: C2/m (12)
Formation energy in eV per atom: -0.214

***

Record 7
First-principles (GGA-PBE) data for an optimized crystal structure of Li2ZnPd6, as listed in Alexandria via LeMat-Bulk.

```
Li2ZnPd6
1.0
6.3968 -2.8825 0.0000
6.3968 2.8825 0.0000
-1.2833 0.0000 3.8631
Li Zn Pd
2 1 6
Cartesian
1.9307 0.0000 0.6495 Li
9.5797 0.0000 3.2135 Li
5.7552 0.0000 1.9315 Zn
3.8118 1.4675 1.2781 Pd
6.3968 1.4840 0.0000 Pd
7.6985 1.4675 2.5850 Pd
3.8118 -1.4675 1.2781 Pd
6.3968 -1.4840 0.0000 Pd
7.6985 -1.4675 2.5850 Pd
```

Results
Space group: C2/m (12)
Formation energy in eV per atom: -0.047

***

Record 8
First-principles (GGA-PBE) data for an optimized crystal structure of RhBrCl, as listed in Alexandria via LeMat-Bulk.

```
RhBrCl
1.0
0.0000 3.6272 6.7344
1.7652 0.0000 6.7344
1.7652 3.6272 0.0000
Rh Br Cl
1 1 1
Cartesian
0.0000 0.0000 0.0000 Rh
1.7652 3.6272 8.4155 Br
1.7652 3.6272 5.1849 Cl
```

Results
Space group: Fmm2 (42)
Raw formation energy in eV/f.u.: -0.42

***

Record 9
First-principles (GGA-PBE) data for an optimized crystal structure of NdSmEuLu, as listed in Alexandria via LeMat-Bulk.

```
NdSmEuLu
1.0
0.0000 4.0999 4.0999
4.0999 0.0000 4.0999
4.0999 4.0999 0.0000
Nd Sm Eu Lu
1 1 1 1
Cartesian
0.0000 0.0000 0.0000 Nd
4.0999 4.0999 4.0999 Sm
6.1499 6.1499 6.1499 Eu
2.0500 2.0500 2.0500 Lu
```

Results
Space group: F-43m (216)
Formation energy in eV per atom: 0.134

***

Record 10
First-principles (GGA-PBE) data for an optimized crystal structure of Sr2SiBiO, as listed in Alexandria via LeMat-Bulk.

```
Sr2SiBiO
1.0
6.3102 0.0000 0.0000
0.0000 6.3102 0.0000
0.0000 0.0000 5.0715
Sr Si Bi O
2 1 1 1
Cartesian
0.0000 3.1551 0.0000 Sr
3.1551 0.0000 0.0000 Sr
0.0000 0.0000 2.5358 Si
0.0000 0.0000 0.0000 Bi
3.1551 3.1551 2.5358 O
```

Results
Space group: P4/mmm (123)
Raw formation energy in eV/f.u.: 1.59

***

Record 11
First-principles (GGA-PBE) data for an optimized crystal structure of TlIr2CSe, as listed in Alexandria via LeMat-Bulk.

```
TlIr2CSe
1.0
5.1289 0.0000 0.0000
0.0000 5.1289 0.0000
0.0000 0.0000 3.9525
Tl Ir C Se
1 2 1 1
Cartesian
0.0000 0.0000 0.0000 Tl
0.0000 2.5644 0.0000 Ir
2.5644 0.0000 0.0000 Ir
0.0000 0.0000 1.9762 C
2.5644 2.5644 1.9762 Se
```

Results
Space group: P4/mmm (123)
Raw formation energy in eV/f.u.: 13.33